! Sr5Au4, optimized geometry, DFT PBE; values from VASP
! Calculated formation energy (eV per atom): -0.65
! VASP energy (eV per formula unit): -27.38
&SYSTEM
  ibrav = 0, nat = 18, ntyp = 2
/
ATOMIC_SPECIES
Sr 87.62 Sr.upf
Au 196.97 Au.upf
CELL_PARAMETERS angstrom
9.444 0.000 0.000
-4.722 8.178 0.000
0.000 0.000 7.493
ATOMIC_POSITIONS crystal
Sr 0.000 0.261 0.250
Sr 0.000 0.739 0.750
Sr 0.261 0.000 0.250
Sr 0.261 0.261 0.750
Sr 0.333 0.667 0.000
Sr 0.333 0.667 0.500
Sr 0.667 0.333 0.000
Sr 0.667 0.333 0.500
Sr 0.739 0.000 0.750
Sr 0.739 0.739 0.250
Au 0.000 0.000 0.000
Au 0.000 0.000 0.500
Au 0.000 0.398 0.750
Au 0.000 0.602 0.250
Au 0.398 0.000 0.750
Au 0.398 0.398 0.250
Au 0.602 0.000 0.250
Au 0.602 0.602 0.750